A plane-wave DFT calculation with GGA-PBE was carried out for a relaxed CoHSBr crystal.

Summary:
Total magnetic moment (μB/atom): 0.250
Raw total energy (eV per cell): -17.06
Space-group type: P1, No. 1
ΔE to the lowest computed polymorph (kcal/mol of atoms): 0.01

a = 3.5458 Å, b = 3.5461 Å, c = 6.6140 Å
α = 90.30°, β = 104.50°, γ = 119.99°
Fractional positions:
Co 0.0000 0.0000 0.0000
H 0.5621 0.7852 0.3648
S 0.4265 0.7147 0.1480
Br 0.5076 0.2516 0.7478

---

A plane-wave DFT calculation with GGA-PBE was carried out for a relaxed Nb12Co3Rh5 crystal.

Summary:
Total magnetic moment (μB/atom): 0.000
Raw total energy (eV per cell): -669.36
Space-group type: Ia-3d, No. 230
ΔH_f (0 K) (eV/f.u.): 11.6

a = 12.7659 Å, b = 12.7659 Å, c = 12.7659 Å
α = 109.47°, β = 109.47°, γ = 109.47°
Fractional positions:
Nb 0.0664 0.2358 0.1321
Nb 0.0664 0.3305 0.9343
Nb 0.0657 0.6321 0.3963
Nb 0.0657 0.9336 0.6695
Nb 0.1037 0.7358 0.6695
Nb 0.1037 0.8679 0.4343
Nb 0.1321 0.0664 0.2358
Nb 0.1321 0.5657 0.8963
Nb 0.1695 0.2358 0.6037
Nb 0.1695 0.4336 0.5657
Nb 0.2358 0.1321 0.0664
Nb 0.2358 0.6037 0.1695
Nb 0.2642 0.3305 0.8963
Nb 0.2642 0.4336 0.3679
Nb 0.3305 0.8963 0.2642
Nb 0.3305 0.9343 0.0664
Nb 0.3679 0.2642 0.4336
Nb 0.3679 0.6037 0.9343
Nb 0.3963 0.0657 0.6321
Nb 0.3963 0.8305 0.7642
Nb 0.4343 0.1037 0.8679
Nb 0.4336 0.3679 0.2642
Nb 0.4336 0.5657 0.1695
Nb 0.4343 0.8305 0.5664
Nb 0.5657 0.1695 0.4336
Nb 0.5664 0.4343 0.8305
Nb 0.5664 0.6321 0.7358
Nb 0.5657 0.8963 0.1321
Nb 0.6037 0.1695 0.2358
Nb 0.6037 0.9343 0.3679
Nb 0.6321 0.3963 0.0657
Nb 0.6321 0.7358 0.5664
Nb 0.6695 0.0657 0.9336
Nb 0.6695 0.1037 0.7358
Nb 0.7358 0.5664 0.6321
Nb 0.7358 0.6695 0.1037
Nb 0.7642 0.3963 0.8305
Nb 0.7642 0.8679 0.9336
Nb 0.8305 0.5664 0.4343
Nb 0.8305 0.7642 0.3963
Nb 0.8679 0.4343 0.1037
Nb 0.8679 0.9336 0.7642
Nb 0.8963 0.1321 0.5657
Nb 0.8963 0.2642 0.3305
Nb 0.9343 0.0664 0.3305
Nb 0.9343 0.3679 0.6037
Nb 0.9336 0.6695 0.0657
Nb 0.9336 0.7642 0.8679
Co 0.1250 0.2500 0.3750
Co 0.1250 0.3750 0.7500
Co 0.2500 0.3750 0.1250
Co 0.2500 0.8750 0.6250
Co 0.3750 0.1250 0.2500
Co 0.3750 0.7500 0.1250
Co 0.6250 0.2500 0.8750
Co 0.6250 0.8750 0.7500
Co 0.7500 0.1250 0.3750
Co 0.7500 0.6250 0.8750
Co 0.8750 0.6250 0.2500
Co 0.8750 0.7500 0.6250
Rh 0.0000 0.0000 0.0000
Rh 0.0000 0.0000 0.5000
Rh 0.0000 0.5000 0.0000
Rh 0.0000 0.5000 0.5000
Rh 0.1250 0.7500 0.8750
Rh 0.1250 0.8750 0.2500
Rh 0.2500 0.1250 0.8750
Rh 0.2500 0.6250 0.3750
Rh 0.3750 0.2500 0.6250
Rh 0.3750 0.6250 0.7500
Rh 0.5000 0.0000 0.0000
Rh 0.5000 0.0000 0.5000
Rh 0.5000 0.5000 0.0000
Rh 0.5000 0.5000 0.5000
Rh 0.6250 0.3750 0.2500
Rh 0.6250 0.7500 0.3750
Rh 0.7500 0.3750 0.6250
Rh 0.7500 0.8750 0.1250
Rh 0.8750 0.1250 0.7500
Rh 0.8750 0.2500 0.1250

---

A plane-wave DFT calculation with GGA-PBE was carried out for a relaxed TmGePt2 crystal.

Summary:
Total magnetic moment (μB/atom): 0.000
Raw total energy (eV per cell): -202.26
Space-group type: Pnma, No. 62
ΔH_f (0 K) (eV/f.u.): -4.1

a = 14.6900 Å, b = 7.1582 Å, c = 5.4950 Å
α = 90.00°, β = 90.00°, γ = 90.00°
Fractional positions:
Tm 0.1118 0.2500 0.2399
Tm 0.1360 0.7500 0.0183
Tm 0.3640 0.2500 0.5183
Tm 0.3882 0.7500 0.7399
Tm 0.6118 0.2500 0.2601
Tm 0.6360 0.7500 0.4817
Tm 0.8640 0.2500 0.9817
Tm 0.8882 0.7500 0.7601
Ge 0.0685 0.7500 0.5254
Ge 0.1812 0.2500 0.7489
Ge 0.3188 0.7500 0.2489
Ge 0.4315 0.2500 0.0254
Ge 0.5685 0.7500 0.9746
Ge 0.6812 0.2500 0.7511
Ge 0.8188 0.7500 0.2511
Ge 0.9315 0.2500 0.4746
Pt 0.0300 0.0486 0.7628
Pt 0.0300 0.4514 0.7628
Pt 0.2184 0.5517 0.5395
Pt 0.2184 0.9483 0.5395
Pt 0.2816 0.0517 0.0395
Pt 0.2816 0.4483 0.0395
Pt 0.4700 0.5486 0.2628
Pt 0.4700 0.9514 0.2628
Pt 0.5300 0.0486 0.7372
Pt 0.5300 0.4514 0.7372
Pt 0.7184 0.5517 0.9605
Pt 0.7184 0.9483 0.9605
Pt 0.7816 0.0517 0.4605
Pt 0.7816 0.4483 0.4605
Pt 0.9700 0.5486 0.2372
Pt 0.9700 0.9514 0.2372

---

A plane-wave DFT calculation with GGA-PBE was carried out for a relaxed Rb2NaTeBr6 crystal.

Summary:
Total magnetic moment (μB/atom): 0.100
Raw total energy (eV per cell): -27.11
Space-group type: I4/mmm, No. 139
Energy relative to the elements, uncorrected (eV/atom): -1.068

a = 8.3088 Å, b = 8.3088 Å, c = 8.3088 Å
α = 122.48°, β = 122.48°, γ = 85.75°
Fractional positions:
Rb 0.2500 0.7500 0.5000
Rb 0.7500 0.2500 0.5000
Na 0.0000 0.0000 0.0000
Te 0.5000 0.5000 0.0000
Br 0.2341 0.2341 0.0000
Br 0.2600 0.2600 0.5200
Br 0.2600 0.7400 0.0000
Br 0.7400 0.2600 0.0000
Br 0.7400 0.7400 0.4800
Br 0.7659 0.7659 0.0000

---

A plane-wave DFT calculation with GGA-PBE was carried out for a relaxed Sm4HgPtAu2 crystal.

Summary:
Total magnetic moment (μB/atom): 0.000
Raw total energy (eV per cell): -38.21
Space-group type: R-3m, No. 166
ΔH_f (0 K) (eV/f.u.): -6.4

a = 8.9971 Å, b = 8.9971 Å, c = 8.9971 Å
α = 33.59°, β = 33.59°, γ = 33.59°
Fractional positions:
Sm 0.1184 0.1184 0.1184
Sm 0.3694 0.3694 0.3694
Sm 0.6306 0.6306 0.6306
Sm 0.8816 0.8816 0.8816
Hg 0.5000 0.5000 0.5000
Pt 0.0000 0.0000 0.0000
Au 0.2418 0.2418 0.2418
Au 0.7582 0.7582 0.7582

---

A plane-wave DFT calculation with GGA-PBE was carried out for a relaxed La6OsRu crystal.

Summary:
Total magnetic moment (μB/atom): 0.000
Raw total energy (eV per cell): -102.74
Space-group type: P-31c, No. 163
ΔH_f (0 K) (eV/f.u.): -1.3

a = 6.9334 Å, b = 6.9334 Å, c = 13.4060 Å
α = 90.00°, β = 90.00°, γ = 120.00°
Fractional positions:
La 0.0017 0.3344 0.1244
La 0.0017 0.6673 0.3756
La 0.3327 0.3344 0.3756
La 0.3327 0.9983 0.1244
La 0.3344 0.0017 0.6244
La 0.3344 0.3327 0.8756
La 0.6656 0.6673 0.1244
La 0.6656 0.9983 0.3756
La 0.6673 0.0017 0.8756
La 0.6673 0.6656 0.6244
La 0.9983 0.3327 0.6244
La 0.9983 0.6656 0.8756
Os 0.3333 0.6667 0.2500
Os 0.6667 0.3333 0.7500
Ru 0.0000 0.0000 0.0000
Ru 0.0000 0.0000 0.5000

---

A plane-wave DFT calculation with GGA-PBE was carried out for a relaxed SmHoAlTl crystal.

Summary:
Total magnetic moment (μB/atom): 0.000
Raw total energy (eV per cell): -67.02
Space-group type: F-43m, No. 216
ΔH_f (0 K) (eV/f.u.): -1.3
ΔE to the lowest computed polymorph (kcal/mol of atoms): 0.56

a = 7.4775 Å, b = 7.4775 Å, c = 7.4775 Å
α = 90.00°, β = 90.00°, γ = 90.00°
Fractional positions:
Sm 0.0000 0.0000 0.0000
Sm 0.0000 0.5000 0.5000
Sm 0.5000 0.0000 0.5000
Sm 0.5000 0.5000 0.0000
Ho 0.0000 0.0000 0.5000
Ho 0.0000 0.5000 0.0000
Ho 0.5000 0.0000 0.0000
Ho 0.5000 0.5000 0.5000
Al 0.2500 0.2500 0.2500
Al 0.2500 0.7500 0.7500
Al 0.7500 0.2500 0.7500
Al 0.7500 0.7500 0.2500
Tl 0.2500 0.2500 0.7500
Tl 0.2500 0.7500 0.2500
Tl 0.7500 0.2500 0.2500
Tl 0.7500 0.7500 0.7500

---

A plane-wave DFT calculation with GGA-PBE was carried out for a relaxed Y4H crystal.

Summary:
Total magnetic moment (μB/atom): 0.000
Raw total energy (eV per cell): -29.99
Space-group type: Pm-3m, No. 221

a = 5.0237 Å, b = 5.0237 Å, c = 5.0237 Å
α = 90.00°, β = 90.00°, γ = 90.00°
Fractional positions:
Y 0.0000 0.0000 0.0000
Y 0.0000 0.5000 0.5000
Y 0.5000 0.0000 0.5000
Y 0.5000 0.5000 0.0000
H 0.5000 0.5000 0.5000

---

A plane-wave DFT calculation with GGA-PBE was carried out for a relaxed CeY3N4 crystal.

Summary:
Total magnetic moment (μB/atom): 0.014
Raw total energy (eV per cell): -143.62
Space-group type: P2/c, No. 13
Energy relative to the elements, uncorrected (eV/atom): -1.648
ΔE to the lowest computed polymorph (kcal/mol of atoms): 0.00

a = 6.0586 Å, b = 6.9969 Å, c = 6.0626 Å
α = 90.00°, β = 109.48°, γ = 90.00°
Fractional positions:
Ce 0.0000 0.1276 0.2500
Ce 0.0000 0.8724 0.7500
Y 0.0000 0.3768 0.7500
Y 0.0000 0.6232 0.2500
Y 0.5000 0.1271 0.7500
Y 0.5000 0.3772 0.2500
Y 0.5000 0.6228 0.7500
Y 0.5000 0.8729 0.2500
N 0.2476 0.1242 0.0009
N 0.2476 0.8758 0.5009
N 0.2498 0.3735 0.4979
N 0.2498 0.6265 0.9979
N 0.7502 0.3735 0.0021
N 0.7502 0.6265 0.5021
N 0.7524 0.1242 0.4991
N 0.7524 0.8758 0.9991

---

A plane-wave DFT calculation with GGA-PBE was carried out for a relaxed Mn2ZnOs crystal.

Summary:
Total magnetic moment (μB/atom): 0.912
Raw total energy (eV per cell): -30.54
Space-group type: P4/mmm, No. 123
ΔH_f (0 K) (eV/f.u.): 0.3

a = 2.6950 Å, b = 2.6950 Å, c = 7.1831 Å
α = 90.00°, β = 90.00°, γ = 90.00°
Fractional positions:
Mn 0.0000 0.0000 0.2455
Mn 0.0000 0.0000 0.7545
Zn 0.5000 0.5000 0.5000
Os 0.5000 0.5000 0.0000

---

A plane-wave DFT calculation with GGA-PBE was carried out for a relaxed LiZnCu2 crystal.

Summary:
Total magnetic moment (μB/atom): 0.000
Raw total energy (eV per cell): -11.56
Space-group type: P4/mmm, No. 123
ΔH_f (0 K) (eV/f.u.): -0.2

a = 2.5836 Å, b = 2.5836 Å, c = 7.8679 Å
α = 90.00°, β = 90.00°, γ = 90.00°
Fractional positions:
Li 0.0000 0.0000 0.0000
Zn 0.0000 0.0000 0.5000
Cu 0.5000 0.5000 0.2558
Cu 0.5000 0.5000 0.7442

---

A plane-wave DFT calculation with GGA-PBE was carried out for a relaxed Nd3Gd crystal.

Summary:
Total magnetic moment (μB/atom): 1.897
Raw total energy (eV per cell): -56.59
Space-group type: Imm2, No. 44
ΔH_f (0 K) (eV/f.u.): 0.1
ΔE to the lowest computed polymorph (kcal/mol of atoms): 0.29

a = 3.6944 Å, b = 11.8310 Å, c = 6.4055 Å
α = 90.00°, β = 90.00°, γ = 90.00°
Fractional positions:
Nd 0.0000 0.0000 0.0000
Nd 0.0000 0.2498 0.6682
Nd 0.0000 0.7502 0.6682
Nd 0.5000 0.2502 0.1682
Nd 0.5000 0.5000 0.5000
Nd 0.5000 0.7498 0.1682
Gd 0.0000 0.5000 0.9998
Gd 0.5000 0.0000 0.4998

---

A plane-wave DFT calculation with GGA-PBE was carried out for a relaxed SbH crystal.

Summary:
Total magnetic moment (μB/atom): 0.000
Raw total energy (eV per cell): -14.67
Space-group type: P-1, No. 2
ΔE to the lowest computed polymorph (kcal/mol of atoms): 0.94

a = 3.2130 Å, b = 4.0912 Å, c = 7.5427 Å
α = 75.73°, β = 88.79°, γ = 89.45°
Fractional positions:
Sb 0.0045 0.3119 0.3638
Sb 0.9955 0.6881 0.6362
H 0.4193 0.0499 0.0193
H 0.5807 0.9501 0.9807

---

A plane-wave DFT calculation with GGA-PBE was carried out for a relaxed CoNi8Pd2 crystal.

Summary:
Total magnetic moment (μB/atom): 0.691
Raw total energy (eV per cell): -60.81
Space-group type: Cmmm, No. 65
ΔH_f (0 K) (eV/f.u.): 2.9

a = 6.2052 Å, b = 6.2052 Å, c = 3.8173 Å
α = 90.00°, β = 90.00°, γ = 106.76°
Fractional positions:
Co 0.0000 0.0000 0.0000
Ni 0.0368 0.2853 0.5000
Ni 0.2284 0.7716 0.0000
Ni 0.2853 0.0368 0.5000
Ni 0.3252 0.3252 0.0000
Ni 0.6748 0.6748 0.0000
Ni 0.7147 0.9632 0.5000
Ni 0.7716 0.2284 0.0000
Ni 0.9632 0.7147 0.5000
Pd 0.3707 0.6293 0.5000
Pd 0.6293 0.3707 0.5000

---

A plane-wave DFT calculation with GGA-PBE was carried out for a relaxed Co2Ru crystal.

Summary:
Total magnetic moment (μB/atom): 0.186
Raw total energy (eV per cell): -81.02
Space-group type: Pa-3, No. 205
ΔH_f (0 K) (eV/f.u.): 3.2
ΔE to the lowest computed polymorph (kcal/mol of atoms): 22.01

a = 5.5631 Å, b = 5.5631 Å, c = 5.5631 Å
α = 90.00°, β = 90.00°, γ = 90.00°
Fractional positions:
Co 0.1126 0.1126 0.1126
Co 0.1126 0.3874 0.6126
Co 0.3874 0.6126 0.1126
Co 0.3874 0.8874 0.6126
Co 0.6126 0.1126 0.3874
Co 0.6126 0.3874 0.8874
Co 0.8874 0.6126 0.3874
Co 0.8874 0.8874 0.8874
Ru 0.0000 0.0000 0.5000
Ru 0.0000 0.5000 0.0000
Ru 0.5000 0.0000 0.0000
Ru 0.5000 0.5000 0.5000

---

A plane-wave DFT calculation with GGA-PBE was carried out for a relaxed PdPtAuBr2 crystal.

Summary:
Total magnetic moment (μB/atom): 0.000
Raw total energy (eV per cell): -13.68
Space-group type: P4/mmm, No. 123
Energy relative to the elements, uncorrected (eV/atom): 0.836

a = 4.9007 Å, b = 4.9007 Å, c = 5.2126 Å
α = 90.00°, β = 90.00°, γ = 90.00°
Fractional positions:
Pd 0.0000 0.0000 0.0000
Pt 0.5000 0.5000 0.5000
Au 0.0000 0.0000 0.5000
Br 0.0000 0.5000 0.0000
Br 0.5000 0.0000 0.0000

---

A plane-wave DFT calculation with GGA-PBE was carried out for a relaxed HgI2O6 crystal.

Summary:
Total magnetic moment (μB/atom): 0.000
Raw total energy (eV per cell): -107.84
Space-group type: P3, No. 143
Energy relative to the elements, uncorrected (eV/atom): -0.311
ΔE to the lowest computed polymorph (kcal/mol of atoms): 0.47

a = 10.2221 Å, b = 10.2221 Å, c = 5.3792 Å
α = 90.00°, β = 90.00°, γ = 120.00°
Fractional positions:
Hg 0.0000 0.0000 0.0000
Hg 0.3333 0.6667 0.0689
Hg 0.6667 0.3333 0.5027
I 0.0017 0.3182 0.0075
I 0.3165 0.9983 0.0075
I 0.3587 0.3581 0.4953
I 0.6419 0.0006 0.4953
I 0.6818 0.6835 0.0075
I 0.9994 0.6413 0.4953
O 0.0767 0.2312 0.2242
O 0.1061 0.5717 0.3188
O 0.1546 0.9233 0.2242
O 0.1809 0.4432 0.8445
O 0.2362 0.0804 0.7924
O 0.2623 0.8191 0.8445
O 0.4283 0.2596 0.2940
O 0.4283 0.5344 0.3188
O 0.4656 0.8939 0.3188
O 0.5178 0.4210 0.7157
O 0.5568 0.7377 0.8445
O 0.5790 0.0968 0.7157
O 0.7404 0.1687 0.2940
O 0.7688 0.8454 0.2242
O 0.8313 0.5717 0.2940
O 0.8442 0.7638 0.7924
O 0.9032 0.4822 0.7157
O 0.9196 0.1558 0.7924

---

A plane-wave DFT calculation with GGA-PBE was carried out for a relaxed LaZnGe2Pt5 crystal.

Summary:
Total magnetic moment (μB/atom): 0.000
Raw total energy (eV per cell): -50.98
Space-group type: P4/mmm, No. 123
ΔH_f (0 K) (eV/f.u.): -5.3

a = 4.1247 Å, b = 4.1247 Å, c = 10.7148 Å
α = 90.00°, β = 90.00°, γ = 90.00°
Fractional positions:
La 0.0000 0.0000 0.0000
Zn 0.0000 0.0000 0.5000
Ge 0.5000 0.5000 0.2273
Ge 0.5000 0.5000 0.7727
Pt 0.0000 0.5000 0.3519
Pt 0.0000 0.5000 0.6481
Pt 0.5000 0.0000 0.3519
Pt 0.5000 0.0000 0.6481
Pt 0.5000 0.5000 0.0000

---

A plane-wave DFT calculation with GGA-PBE was carried out for a relaxed Rb2BaAu crystal.

Summary:
Total magnetic moment (μB/atom): 0.000
Raw total energy (eV per cell): -25.47
Space-group type: Fm-3m, No. 225
ΔH_f (0 K) (eV/f.u.): 0.8
ΔE to the lowest computed polymorph (kcal/mol of atoms): 11.92

a = 9.0958 Å, b = 9.0958 Å, c = 9.0958 Å
α = 90.00°, β = 90.00°, γ = 90.00°
Fractional positions:
Rb 0.2500 0.2500 0.2500
Rb 0.2500 0.2500 0.7500
Rb 0.2500 0.7500 0.2500
Rb 0.2500 0.7500 0.7500
Rb 0.7500 0.2500 0.2500
Rb 0.7500 0.2500 0.7500
Rb 0.7500 0.7500 0.2500
Rb 0.7500 0.7500 0.7500
Ba 0.0000 0.0000 0.0000
Ba 0.0000 0.5000 0.5000
Ba 0.5000 0.0000 0.5000
Ba 0.5000 0.5000 0.0000
Au 0.0000 0.0000 0.5000
Au 0.0000 0.5000 0.0000
Au 0.5000 0.0000 0.0000
Au 0.5000 0.5000 0.5000